Version w
Compound: KIn4Pd
Source: the Alexandria database
Functional: PBE-GGA
Structure: optimized geometry

Summary:
**Magnetic moment**: 0.0 μB/f.u.
**Crystal system**: tetragonal
**Fermi-level density of states**: 0.328 states/eV per atom

a b c (Å): 9.712 9.712 9.712
angles (deg): 140.80 140.80 56.64
Element x y z (fractional)
K (0.500, 0.500, 0.000)
Pd (0.750, 0.750, 0.000)
In (0.833, 0.998, 0.500)
K (0.000, 0.000, 0.000)
In (0.498, 0.333, 0.500)
In (0.333, 0.833, 0.835)
Pd (0.250, 0.250, 0.000)
In (0.998, 0.498, 0.165)
In (0.502, 0.667, 0.500)
In (0.167, 0.002, 0.500)
In (0.002, 0.502, 0.835)
In (0.667, 0.167, 0.165)

***

Version x
Compound: KIn4Pd
Source: the Alexandria database
Functional: PBE-GGA
Structure: optimized geometry

Summary:
**Magnetic moment**: 0.0 μB/f.u.
**Crystal system**: orthorhombic
**Fermi-level density of states**: 0.498 states/eV per atom

a b c (Å): 4.358 8.211 8.841
angles (deg): 90.00 90.00 90.00
Element x y z (fractional)
In (0.500, 0.065, 0.250)
In (0.500, 0.300, 0.564)
In (0.500, 0.700, 0.064)
In (0.000, 0.000, 0.000)
In (0.500, 0.935, 0.750)
K (0.000, 0.597, 0.750)
In (0.500, 0.300, 0.936)
Pd (0.000, 0.817, 0.250)
K (0.000, 0.403, 0.250)
Pd (0.000, 0.183, 0.750)
In (0.500, 0.700, 0.436)
In (0.000, 0.000, 0.500)

***

Most stable one: version x, least stable one: version w.